This record from Alexandria describes a relaxed structure of BeCdIn2. The functional is PBE. Values from VASP.

Excess energy over the best structure of this formula in the dataset   0.015 eV per atom
Space-group type   Imm2, No. 44
Formation enthalpy at 0 K   281.3 meV/atom
ρ   6.7 g/cm3
D(E_F)   1.6 states/eV per cell

The structure in Quantum ESPRESSO input format:
```
&SYSTEM
  ibrav = 0, nat = 4, ntyp = 3
/
ATOMIC_SPECIES
Be 9.01 Be.upf
Cd 112.41 Cd.upf
In 114.82 In.upf
ATOMIC_POSITIONS crystal
Be 0.498 0.498 0.000
Cd 0.319 0.819 0.500
In 0.997 0.997 0.000
In 0.686 0.186 0.500
CELL_PARAMETERS angstrom
6.975 -0.013 0.025
4.949 4.916 -0.025
-5.637 -3.242 2.524
```

***

This record from Alexandria describes a relaxed structure of Be2CdIn. The functional is PBE. Values from VASP.

Excess energy over the best structure of this formula in the dataset   0.256 eV per atom
Space-group type   Fm-3m, No. 225
Formation enthalpy at 0 K   640.6 meV/atom
ρ   6.3 g/cm3
D(E_F)   2.1 states/eV per cell

The structure in Quantum ESPRESSO input format:
```
&SYSTEM
  ibrav = 0, nat = 4, ntyp = 3
/
ATOMIC_SPECIES
Be 9.01 Be.upf
Cd 112.41 Cd.upf
In 114.82 In.upf
ATOMIC_POSITIONS crystal
Be 0.250 0.250 0.250
Be 0.750 0.750 0.750
Cd 0.000 0.000 0.000
In 0.500 0.500 0.500
CELL_PARAMETERS angstrom
-2.363 -3.805 0.576
-0.502 -1.743 4.136
-4.031 0.131 2.032
```

***

This record from Alexandria describes a relaxed structure of Be3CdIn. The functional is PBE. Values from VASP.

Excess energy over the best structure of this formula in the dataset   0.000 eV per atom
Space-group type   Pm-3m, No. 221
Formation enthalpy at 0 K   983.6 meV/atom
ρ   4.5 g/cm3
D(E_F)   1.2 states/eV per cell

The structure in Quantum ESPRESSO input format:
```
&SYSTEM
  ibrav = 0, nat = 5, ntyp = 3
/
ATOMIC_SPECIES
Be 9.01 Be.upf
Cd 112.41 Cd.upf
In 114.82 In.upf
ATOMIC_POSITIONS crystal
Be 0.000 0.500 0.000
Be 0.000 0.000 0.500
Be 0.500 0.000 0.000
Cd 0.000 0.000 0.000
In 0.500 0.500 0.500
CELL_PARAMETERS angstrom
4.540 0.000 0.000
0.000 4.540 0.000
0.000 0.000 4.540
```

***

This record from Alexandria describes a relaxed structure of BeCd2In. The functional is PBE. Values from VASP.

Excess energy over the best structure of this formula in the dataset   0.255 eV per atom
Space-group type   Fm-3m, No. 225
Formation enthalpy at 0 K   490.5 meV/atom
ρ   6.9 g/cm3
D(E_F)   2.3 states/eV per cell

The structure in Quantum ESPRESSO input format:
```
&SYSTEM
  ibrav = 0, nat = 4, ntyp = 3
/
ATOMIC_SPECIES
Be 9.01 Be.upf
Cd 112.41 Cd.upf
In 114.82 In.upf
ATOMIC_POSITIONS crystal
Be 0.000 0.000 0.000
Cd 0.250 0.250 0.250
Cd 0.750 0.750 0.750
In 0.500 0.500 0.500
CELL_PARAMETERS angstrom
0.000 3.480 3.480
3.480 0.000 3.480
3.480 3.480 0.000
```

***

This record from Alexandria describes a relaxed structure of Be4CdIn. The functional is PBE. Values from VASP.

Space-group type   F-43m, No. 216
Formation enthalpy at 0 K   388.2 meV/atom
ρ   5.6 g/cm3
D(E_F)   1.3 states/eV per cell

The structure in Quantum ESPRESSO input format:
```
&SYSTEM
  ibrav = 0, nat = 6, ntyp = 3
/
ATOMIC_SPECIES
Be 9.01 Be.upf
Cd 112.41 Cd.upf
In 114.82 In.upf
ATOMIC_POSITIONS crystal
Be 0.874 0.375 0.375
Be 0.375 0.375 0.874
Be 0.375 0.874 0.375
Be 0.375 0.375 0.375
Cd 0.750 0.750 0.750
In 0.000 0.000 0.000
CELL_PARAMETERS angstrom
0.000 3.387 3.387
3.387 0.000 3.387
3.387 3.387 0.000
```

***

This record from Alexandria describes a relaxed structure of Be3CdIn. The functional is PBE. Values from VASP.

Excess energy over the best structure of this formula in the dataset   0.126 eV per atom
Space-group type   Pm-3m, No. 221
Formation enthalpy at 0 K   1109.2 meV/atom
ρ   4.3 g/cm3
D(E_F)   1.7 states/eV per cell

The structure in Quantum ESPRESSO input format:
```
&SYSTEM
  ibrav = 0, nat = 5, ntyp = 3
/
ATOMIC_SPECIES
Be 9.01 Be.upf
Cd 112.41 Cd.upf
In 114.82 In.upf
ATOMIC_POSITIONS crystal
Be 0.000 0.500 0.000
Be 0.000 0.000 0.500
Be 0.500 0.000 0.000
Cd 0.500 0.500 0.500
In 0.000 0.000 0.000
CELL_PARAMETERS angstrom
-3.094 -1.650 2.988
2.489 -3.849 0.452
2.335 1.918 3.477
```

***

This record from Alexandria describes a relaxed structure of BeCdIn2. The functional is PBE. Values from VASP.

Excess energy over the best structure of this formula in the dataset   0.070 eV per atom
Space-group type   P2/m, No. 10
Formation enthalpy at 0 K   335.6 meV/atom
ρ   6.4 g/cm3
D(E_F)   1.0 states/eV per cell

The structure in Quantum ESPRESSO input format:
```
&SYSTEM
  ibrav = 0, nat = 4, ntyp = 3
/
ATOMIC_SPECIES
Be 9.01 Be.upf
Cd 112.41 Cd.upf
In 114.82 In.upf
ATOMIC_POSITIONS crystal
Be 0.500 0.250 0.250
Cd 0.500 0.750 0.750
In 0.000 0.149 0.031
In 0.000 0.351 0.469
CELL_PARAMETERS angstrom
-0.667 3.877 -1.702
-3.282 0.588 2.625
0.503 2.498 5.492
```

***

This record from Alexandria describes a relaxed structure of BeCd2In. The functional is PBE. Values from VASP.

Excess energy over the best structure of this formula in the dataset   0.154 eV per atom
Space-group type   P2/m, No. 10
Formation enthalpy at 0 K   389.5 meV/atom
ρ   7.1 g/cm3
D(E_F)   1.7 states/eV per cell

The structure in Quantum ESPRESSO input format:
```
&SYSTEM
  ibrav = 0, nat = 4, ntyp = 3
/
ATOMIC_SPECIES
Be 9.01 Be.upf
Cd 112.41 Cd.upf
In 114.82 In.upf
ATOMIC_POSITIONS crystal
Be 0.000 0.000 0.500
Cd 0.000 0.000 0.000
Cd 0.500 0.500 0.000
In 0.500 0.500 0.500
CELL_PARAMETERS angstrom
-1.304 2.917 0.279
-1.148 -0.061 -4.732
-5.238 -2.196 -1.529
```